No. 1
Here is crystalline B3MoPt at its relaxed geometry from Alexandria. Energies are from PBE.

Cell lengths 4.052, 4.052, 4.052 Å; angles 90.00, 90.00, 90.00 degrees
Sites, in units of the cell vectors:
B 0.000 0.000 0.500
B 0.000 0.500 0.000
B 0.500 0.000 0.000
Mo 0.500 0.500 0.500
Pt 0.000 0.000 0.000

Summary:
- Magnetic moment: 1.86 μB/f.u.
- Excess energy over the best structure of this formula in the dataset: 0 kJ/mol of formula units



No. 2
Here is crystalline B2MoPt at its relaxed geometry from Alexandria. Energies are from PBE.

Cell lengths 5.579, 5.579, 5.579 Å; angles 90.00, 90.00, 90.00 degrees
Sites, in units of the cell vectors:
B 0.250 0.250 0.250
B 0.250 0.250 0.750
B 0.250 0.750 0.250
B 0.250 0.750 0.750
B 0.750 0.250 0.250
B 0.750 0.250 0.750
B 0.750 0.750 0.250
B 0.750 0.750 0.750
Mo 0.000 0.000 0.000
Mo 0.000 0.500 0.500
Mo 0.500 0.000 0.500
Mo 0.500 0.500 0.000
Pt 0.000 0.000 0.500
Pt 0.000 0.500 0.000
Pt 0.500 0.000 0.000
Pt 0.500 0.500 0.500

Summary:
- Magnetic moment: 0.00 μB/f.u.
- Excess energy over the best structure of this formula in the dataset: 0 kJ/mol of formula units



No. 3
Here is crystalline BMo3Pt at its relaxed geometry from Alexandria. Energies are from PBE.

Cell lengths 4.171, 4.171, 4.171 Å; angles 90.00, 90.00, 90.00 degrees
Sites, in units of the cell vectors:
B 0.000 0.000 0.000
Mo 0.000 0.000 0.500
Mo 0.000 0.500 0.000
Mo 0.500 0.000 0.000
Pt 0.500 0.500 0.500

Summary:
- Magnetic moment: 0.00 μB/f.u.
- Excess energy over the best structure of this formula in the dataset: 0 kJ/mol of formula units